Record 1
This record from Alexandria describes SiP2PdRh after structural relaxation. The functional is PBE.

Its total moment is 0.00 μB/cell. Its calculated total energy is -5.0952 eV/atom. The density of states at the Fermi level is 4.1 states/eV/f.u.

It has space group P4/mmm (No. 123), with a = 4.3595 Å, b = 4.3595 Å, c = 5.2272 Å, α = 90.00°, β = 90.00° and γ = 90.00°. The inequivalent atoms are Si at (0.0000, 0.0000, 0.0000), P at (0.0000, 0.5000, 0.5000), Pd at (0.5000, 0.5000, 0.0000) and Rh at (0.5000, 0.5000, 0.5000).



Record 2
This record from Alexandria describes Na3FeSe3 after structural relaxation. The functional is PBE.

Its total moment is 16.00 μB/cell. Its calculated total energy is -4.0611 eV/atom. The density of states at the Fermi level is 2.3 states/eV/f.u.

It has space group P2_1/c (No. 14), with a = 7.4464 Å, b = 7.2137 Å, c = 14.8546 Å, α = 90.00°, β = 118.86° and γ = 90.00°. The inequivalent atoms are Na at (0.0030, 0.0001, 0.2759), Na at (0.3735, 0.0169, 0.5926), Na at (0.4500, 0.5170, 0.6135), Fe at (0.9999, 0.1207, 0.0744), Se at (0.0110, 0.2120, 0.9234), Se at (0.2974, 0.7432, 0.4268) and Se at (0.2995, 0.2168, 0.2260).



Record 3
This record from Alexandria describes ScZnCdO2 after structural relaxation. The functional is PBE.

Its total moment is 0.00 μB/cell. Its calculated total energy is -4.7263 eV/atom. The density of states at the Fermi level is 2.9 states/eV/f.u.

It has space group P4/mmm (No. 123), with a = 4.0143 Å, b = 4.0143 Å, c = 6.3252 Å, α = 90.00°, β = 90.00° and γ = 90.00°. The inequivalent atoms are Sc at (0.0000, 0.0000, 0.0000), Zn at (0.5000, 0.5000, 0.5000), Cd at (0.0000, 0.0000, 0.5000) and O at (0.0000, 0.5000, 0.0000).



Record 4
This record from Alexandria describes NiHgPt2 after structural relaxation. The functional is PBE.

Its total moment is 2.35 μB/cell. Its calculated total energy is -4.4196 eV/atom. The density of states at the Fermi level is 4.8 states/eV/f.u.

It has space group R3m (No. 160, hexagonal axes), with a = 2.8581 Å, b = 2.8581 Å, c = 26.9450 Å, α = 90.00°, β = 90.00° and γ = 120.00°. The inequivalent atoms are Ni at (0.0000, 0.0000, 0.0000), Hg at (0.0000, 0.0000, 0.7484), Pt at (0.0000, 0.0000, 0.2593) and Pt at (0.0000, 0.0000, 0.5063).



Record 5
This record from Alexandria describes ScTlC2O6 after structural relaxation. The functional is PBE.

Its total moment is 0.00 μB/cell. Its calculated total energy is -7.5740 eV/atom. The density of states at the Fermi level is 0.0 states/eV/f.u.

It has space group C2/c (No. 15), with a = 8.6289 Å, b = 9.6565 Å, c = 7.0296 Å, α = 90.00°, β = 108.50° and γ = 90.00°. The inequivalent atoms are Sc at (0.0000, 0.1652, 0.2500), Tl at (0.0000, 0.3956, 0.7500), C at (0.2038, 0.1094, 0.7050), O at (0.0901, 0.1694, 0.5616), O at (0.1594, 0.3271, 0.2099) and O at (0.1819, 0.0129, 0.2663).



Record 6
This record from Alexandria describes Os3Rh after structural relaxation. The functional is PBE.

Its total moment is 2.85 μB/cell. Its calculated total energy is -9.5366 eV/atom. The density of states at the Fermi level is 4.9 states/eV/f.u.

It has space group Fm-3m (No. 225), with a = 6.1749 Å, b = 6.1749 Å, c = 6.1749 Å, α = 90.00°, β = 90.00° and γ = 90.00°. The inequivalent atoms are Os at (0.0000, 0.0000, 0.0000), Os at (0.2500, 0.2500, 0.2500) and Rh at (0.0000, 0.0000, 0.5000).



Number 6 is which compound? Os3Rh